(1)
The following is a PBE-GGA calculation of SmAlSi after structural relaxation, from Alexandria.

a = 4.1787 Å, b = 4.1787 Å, c = 14.5297 Å
α = 90.00°, β = 90.00°, γ = 90.00°
Fractional positions:
1 Sm 0.0000 0.0000 0.0000
2 Sm 0.0000 0.5000 0.2500
3 Sm 0.5000 0.0000 0.7500
4 Sm 0.5000 0.5000 0.5000
5 Al 0.0000 0.0000 0.5839
6 Al 0.0000 0.5000 0.8339
7 Al 0.5000 0.0000 0.3339
8 Al 0.5000 0.5000 0.0839
9 Si 0.0000 0.0000 0.4182
10 Si 0.0000 0.5000 0.6682
11 Si 0.5000 0.0000 0.1682
12 Si 0.5000 0.5000 0.9182

Computed properties:
* ΔE_f (raw): -0.66 eV per atom



(2)
The following is a PBE-GGA calculation of TbSmAlSi after structural relaxation, from Alexandria.

a = 4.0228 Å, b = 4.3905 Å, c = 11.0220 Å
α = 90.00°, β = 90.00°, γ = 90.00°
Fractional positions:
1 Tb 0.0000 0.0000 0.0000
2 Tb 0.0000 0.5000 0.5000
3 Sm 0.5000 0.0000 0.7167
4 Sm 0.5000 0.5000 0.2167
5 Al 0.0000 0.0000 0.2910
6 Al 0.0000 0.5000 0.7910
7 Si 0.5000 0.0000 0.4344
8 Si 0.5000 0.5000 0.9344

Computed properties:
* ΔE_f (raw): -0.63 eV per atom



(3)
The following is a PBE-GGA calculation of TbSmAl2Si after structural relaxation, from Alexandria.

a = 4.3214 Å, b = 4.3820 Å, c = 12.2049 Å
α = 90.00°, β = 90.00°, γ = 90.00°
Fractional positions:
1 Tb 0.0000 0.0000 0.0000
2 Tb 0.5000 0.5000 0.5000
3 Sm 0.0000 0.5000 0.2421
4 Sm 0.5000 0.0000 0.7421
5 Al 0.0000 0.0000 0.4927
6 Al 0.0000 0.5000 0.8460
7 Al 0.5000 0.0000 0.3460
8 Al 0.5000 0.5000 0.9927
9 Si 0.0000 0.5000 0.6464
10 Si 0.5000 0.0000 0.1464

Computed properties:
* ΔE_f (raw): -0.43 eV per atom



(4)
The following is a PBE-GGA calculation of SmThAlSi after structural relaxation, from Alexandria.

a = 4.0462 Å, b = 4.4388 Å, c = 11.2157 Å
α = 90.00°, β = 90.00°, γ = 90.00°
Fractional positions:
1 Sm 0.0000 0.0000 0.0000
2 Sm 0.0000 0.5000 0.5000
3 Th 0.5000 0.0000 0.2844
4 Th 0.5000 0.5000 0.7844
5 Al 0.5000 0.0000 0.5717
6 Al 0.5000 0.5000 0.0717
7 Si 0.0000 0.0000 0.7172
8 Si 0.0000 0.5000 0.2172

Computed properties:
* ΔE_f (raw): -0.57 eV per atom



(5)
The following is a PBE-GGA calculation of SmTmAlSi after structural relaxation, from Alexandria.

a = 3.9969 Å, b = 4.3507 Å, c = 10.8969 Å
α = 90.00°, β = 90.00°, γ = 90.00°
Fractional positions:
1 Sm 0.0000 0.0000 0.0000
2 Sm 0.0000 0.5000 0.5000
3 Tm 0.5000 0.0000 0.2827
4 Tm 0.5000 0.5000 0.7827
5 Al 0.5000 0.0000 0.5741
6 Al 0.5000 0.5000 0.0741
7 Si 0.0000 0.0000 0.7195
8 Si 0.0000 0.5000 0.2195

Computed properties:
* ΔE_f (raw): -0.62 eV per atom



(6)
The following is a PBE-GGA calculation of SmYAlSi after structural relaxation, from Alexandria.

a = 4.0200 Å, b = 4.3842 Å, c = 10.9940 Å
α = 90.00°, β = 90.00°, γ = 90.00°
Fractional positions:
1 Sm 0.0000 0.0000 0.0000
2 Sm 0.0000 0.5000 0.5000
3 Y 0.5000 0.0000 0.2830
4 Y 0.5000 0.5000 0.7830
5 Al 0.5000 0.0000 0.5740
6 Al 0.5000 0.5000 0.0740
7 Si 0.0000 0.0000 0.7179
8 Si 0.0000 0.5000 0.2179

Computed properties:
* ΔE_f (raw): -0.65 eV per atom